Entry 1:
Compound: Ta2MnIr
Source: Alexandria via LeMat-Bulk
Functional: PBE-GGA
Structure: relaxed

abc: 3.6181 4.0452 4.3265
angles: 90.00 90.00 90.00
With the nearest neighbours (Å) after each atom.
Fractional positions:
Ta: 0.0000 0.0000 0.0000  4 Ir 2.71, 4 Ta 2.82, 4 Mn 2.96
Ta: 0.5000 0.0000 0.5000  4 Mn 2.71, 4 Ta 2.82, 4 Ir 2.96
Mn: 0.0000 0.5000 0.5000  8 Ta 2.71-2.96, 4 Ir 2.82
Ir: 0.5000 0.5000 0.0000  8 Ta 2.71-2.96, 4 Mn 2.82

Results
symmetry = Pmmm
calculated formation energy = -0.24 eV per atom
V = 63.3 Å³ per cell

Entry 2:
Compound: TaMnIr
Source: Alexandria via LeMat-Bulk
Functional: PBE-GGA
Structure: relaxed

abc: 4.3582 4.3582 2.7918
angles: 90.00 90.00 120.00
With the nearest neighbours (Å) after each atom.
Fractional positions:
Ta: 0.0000 0.0000 0.0000  3 Mn 2.68, 3 Ir 2.69, 2 Ta 2.79
Mn: 0.3333 0.6667 0.6702  3 Ir 2.68, 3 Ta 2.68, 2 Mn 2.79
Ir: 0.6667 0.3333 0.3407  3 Mn 2.68, 3 Ta 2.69, 2 Ir 2.79

Results
symmetry = P3m1
calculated formation energy = -0.21 eV per atom
V = 45.9 Å³ per cell
energy relative to the lowest polymorph listed for this composition = 69 meV/atom

Entry 3:
Compound: Ta2MnIr
Source: Alexandria via LeMat-Bulk
Functional: PBE-GGA
Structure: relaxed

abc: 5.5831 8.1176 2.8437
angles: 90.00 100.88 90.00
With the nearest neighbours (Å) after each atom.
Fractional positions:
Ta: 0.2500 0.2500 0.0000  4 Ir 2.71-2.97, 4 Mn 2.71-2.97, 4 Ta 2.79-2.84
Ta: 0.2500 0.7500 0.0000  4 Ir 2.71-2.97, 4 Mn 2.71-2.97, 4 Ta 2.79-2.84
Ta: 0.7500 0.2500 0.0000  4 Mn 2.71-2.97, 4 Ir 2.71-2.97, 4 Ta 2.79-2.84
Ta: 0.7500 0.7500 0.0000  4 Mn 2.71-2.97, 4 Ir 2.71-2.97, 4 Ta 2.79-2.84
Mn: 0.0000 0.0000 0.5000  8 Ta 2.71-2.97, 2 Ir 2.79, 2 Mn 2.84
Mn: 0.5000 0.5000 0.5000  8 Ta 2.71-2.97, 2 Ir 2.79, 2 Mn 2.84
Ir: 0.0000 0.5000 0.5000  8 Ta 2.71-2.97, 2 Mn 2.79, 2 Ir 2.84
Ir: 0.5000 0.0000 0.5000  8 Ta 2.71-2.97, 2 Mn 2.79, 2 Ir 2.84

Results
symmetry = C2/m
calculated formation energy = -0.20 eV per atom
V = 126.6 Å³ per cell

Entry 4:
Compound: TaMnIr
Source: Alexandria via LeMat-Bulk
Functional: PBE-GGA
Structure: relaxed

abc: 6.0037 6.0037 6.0037
angles: 90.00 90.00 90.00
With the nearest neighbours (Å) after each atom.
Fractional positions:
Ta: 0.0000 0.0000 0.0000  4 Mn 2.60, 4 Ir 2.60
Ta: 0.0000 0.5000 0.5000  4 Mn 2.60, 4 Ir 2.60
Ta: 0.5000 0.0000 0.5000  4 Mn 2.60, 4 Ir 2.60
Ta: 0.5000 0.5000 0.0000  4 Mn 2.60, 4 Ir 2.60
Mn: 0.2500 0.2500 0.7500  4 Ta 2.60
Mn: 0.2500 0.7500 0.2500  4 Ta 2.60
Mn: 0.7500 0.2500 0.2500  4 Ta 2.60
Mn: 0.7500 0.7500 0.7500  4 Ta 2.60
Ir: 0.2500 0.2500 0.2500  4 Ta 2.60
Ir: 0.2500 0.7500 0.7500  4 Ta 2.60
Ir: 0.7500 0.2500 0.7500  4 Ta 2.60
Ir: 0.7500 0.7500 0.2500  4 Ta 2.60

Results
symmetry = F-43m
calculated formation energy = 0.27 eV per atom
V = 216.4 Å³ per cell
energy relative to the lowest polymorph listed for this composition = 545 meV/atom